[1]
# PBE AgPtW2, relaxed
# Crystal system = tetragonal
# Energy relative to the lowest polymorph listed for this composition = 0.919 eV/f.u.
# Calculated formation energy = 1.5 eV/f.u.
data_AgPtW2
_cell_length_a 4.060
_cell_length_b 4.060
_cell_length_c 7.836
_cell_angle_alpha 90.00
_cell_angle_beta 90.00
_cell_angle_gamma 90.00
_symmetry_space_group_name_H-M 'I -4 m 2'
_symmetry_Int_Tables_number 119
_symmetry_space_group_name_Hall 'I -4 -2'
loop_
_atom_site_label
_atom_site_fract_x
_atom_site_fract_y
_atom_site_fract_z
Ag1 0.000 0.000 0.000
Pt1 0.000 0.500 0.250
W1 0.000 0.000 0.500
W2 0.000 0.500 0.750

[2]
# PBE TaV2Os, relaxed
# Crystal system = tetragonal
# Energy relative to the lowest polymorph listed for this composition = 3.022 eV/f.u.
# Calculated formation energy = 1.8 eV/f.u.
data_TaV2Os
_cell_length_a 7.000
_cell_length_b 7.000
_cell_length_c 5.287
_cell_angle_alpha 90.00
_cell_angle_beta 90.00
_cell_angle_gamma 90.00
_symmetry_space_group_name_H-M 'I -4 2 d'
_symmetry_Int_Tables_number 122
_symmetry_space_group_name_Hall 'I -4 2bw'
loop_
_atom_site_label
_atom_site_fract_x
_atom_site_fract_y
_atom_site_fract_z
Ta1 0.000 0.000 0.000
V1 0.224 0.750 0.625
Os1 0.000 0.000 0.500

[3]
# PBE Zr4Se5N, relaxed
# Crystal system = monoclinic
# Formation energy without anion corrections = -1.359 eV per atom
data_Zr4Se5N
_cell_length_a 16.276
_cell_length_b 3.615
_cell_length_c 7.443
_cell_angle_alpha 90.00
_cell_angle_beta 102.28
_cell_angle_gamma 90.00
_symmetry_space_group_name_H-M 'C 1 2/m 1'
_symmetry_Int_Tables_number 12
_symmetry_space_group_name_Hall '-C 2y'
loop_
_atom_site_label
_atom_site_fract_x
_atom_site_fract_y
_atom_site_fract_z
Zr1 0.001 0.000 0.284
Zr2 0.144 0.500 0.569
Se1 0.000 0.500 0.000
Se2 0.165 0.000 0.837
Se3 0.171 0.000 0.317
N1 0.000 0.500 0.500

[4]
# PBE YBeAg, relaxed
# Crystal system = monoclinic
# Energy relative to the lowest polymorph listed for this composition = 0.000 eV/f.u.
# Calculated formation energy = -0.4 eV/f.u.
data_YBeAg
_cell_length_a 9.884
_cell_length_b 4.202
_cell_length_c 6.990
_cell_angle_alpha 90.00
_cell_angle_beta 129.01
_cell_angle_gamma 90.00
_symmetry_space_group_name_H-M 'C 1 2/m 1'
_symmetry_Int_Tables_number 12
_symmetry_space_group_name_Hall '-C 2y'
loop_
_atom_site_label
_atom_site_fract_x
_atom_site_fract_y
_atom_site_fract_z
Y1 0.068 0.000 0.306
Be1 0.131 0.500 0.681
Ag1 0.191 0.500 0.099

[5]
# PBE Na3AgHg7, relaxed
# Crystal system = orthorhombic
# Calculated formation energy = -1.6 eV/f.u.
data_Na3AgHg7
_cell_length_a 3.804
_cell_length_b 24.150
_cell_length_c 12.138
_cell_angle_alpha 90.00
_cell_angle_beta 90.00
_cell_angle_gamma 90.00
_symmetry_space_group_name_H-M 'C m c m'
_symmetry_Int_Tables_number 63
_symmetry_space_group_name_Hall '-C 2c 2'
loop_
_atom_site_label
_atom_site_fract_x
_atom_site_fract_y
_atom_site_fract_z
Na1 0.000 0.078 0.056
Na2 0.000 0.236 0.750
Ag1 0.000 0.093 0.750
Hg1 0.000 0.207 0.077
Hg2 0.000 0.343 0.105
Hg3 0.000 0.376 0.750
Hg4 0.000 0.480 0.123

[6]
# PBE Ba2NaOsN, relaxed
# Crystal system = tetragonal
# Formation energy without anion corrections = -0.110 eV per atom
data_Ba2NaOsN
_cell_length_a 5.957
_cell_length_b 5.957
_cell_length_c 3.852
_cell_angle_alpha 90.00
_cell_angle_beta 90.00
_cell_angle_gamma 90.00
_symmetry_space_group_name_H-M 'P 4/m m m'
_symmetry_Int_Tables_number 123
_symmetry_space_group_name_Hall '-P 4 2'
loop_
_atom_site_label
_atom_site_fract_x
_atom_site_fract_y
_atom_site_fract_z
Ba1 0.000 0.500 0.000
Na1 0.000 0.000 0.500
Os1 0.500 0.500 0.500
N1 0.500 0.500 0.000

[7]
# PBE La2BeGeN, relaxed
# Crystal system = monoclinic
# Energy relative to the lowest polymorph listed for this composition = 0.000 eV/f.u.
# Formation energy without anion corrections = -0.982 eV per atom
data_La2BeGeN
_cell_length_a 6.517
_cell_length_b 3.952
_cell_length_c 8.409
_cell_angle_alpha 90.00
_cell_angle_beta 108.60
_cell_angle_gamma 90.00
_symmetry_space_group_name_H-M 'P 1 21/m 1'
_symmetry_Int_Tables_number 11
_symmetry_space_group_name_Hall '-P 2yb'
loop_
_atom_site_label
_atom_site_fract_x
_atom_site_fract_y
_atom_site_fract_z
La1 0.208 0.250 0.391
La2 0.213 0.250 0.960
Be1 0.443 0.750 0.241
Ge1 0.345 0.750 0.706
N1 0.181 0.750 0.172

[8]
# PBE NdMn2Ge2, relaxed
# Crystal system = tetragonal
# Calculated formation energy = -2.3 eV/f.u.
data_NdMn2Ge2
_cell_length_a 4.005
_cell_length_b 4.005
_cell_length_c 10.989
_cell_angle_alpha 90.00
_cell_angle_beta 90.00
_cell_angle_gamma 90.00
_symmetry_space_group_name_H-M 'I 4/m m m'
_symmetry_Int_Tables_number 139
_symmetry_space_group_name_Hall '-I 4 2'
loop_
_atom_site_label
_atom_site_fract_x
_atom_site_fract_y
_atom_site_fract_z
Nd1 0.000 0.000 0.000
Mn1 0.000 0.500 0.250
Ge1 0.000 0.000 0.377